The following is a PBE calculation of an optimized crystal structure of InW2C, from OQMD.

Cell lengths 3.129, 3.129, 14.061 Å; angles 90.00, 90.00, 120.00 degrees
Fractional positions:
In  0.333  0.667  0.250
In  0.667  0.333  0.750
W  0.333  0.667  0.581
W  0.333  0.667  0.919
W  0.667  0.333  0.081
W  0.667  0.333  0.419
C  0.000  0.000  0.000
C  0.000  0.000  0.500

## Properties
electronic total energy: -9.223 eV/atom
total magnetization: 0.01 μB per cell
crystal system: hexagonal